Record 1
The following is a DFT calculation (PBE-GGA) of an optimized crystal structure of HoThSc2.

Values from the calculation:
Energy relative to the lowest polymorph listed for this composition (eV/f.u.): 0.17
DOS(E_F) (states/eV per cell): 6.88
SG: Fm-3m, No. 225
E_form (kcal/mol of atoms): 1.35
Electronic total energy (eV per formula unit): -24.43
M_tot (μB per cell): 0.00

Lattice parameters (Å, degrees): 5.4095 5.4095 5.4095 60.00 60.00 60.00
Closest atoms and distances in Å follow each position.
Fractional coordinates of all 4 atoms:
Ho1 0.0000 0.0000 0.0000  8 Sc 3.31
Sc1 0.2500 0.2500 0.2500  4 Th 3.31, 4 Ho 3.31
Th1 0.5000 0.5000 0.5000  8 Sc 3.31
Sc2 0.7500 0.7500 0.7500  4 Ho 3.31, 4 Th 3.31

Record 2
The following is a DFT calculation (PBE-GGA) of an optimized crystal structure of HoThSc.

Values from the calculation:
Energy relative to the lowest polymorph listed for this composition (eV/f.u.): 0.01
DOS(E_F) (states/eV per cell): 4.50
SG: P3m1, No. 156
E_form (kcal/mol of atoms): 0.96
Electronic total energy (eV per formula unit): -18.20
M_tot (μB per cell): 0.00

Lattice parameters (Å, degrees): 3.4995 3.4995 8.2883 90.00 90.00 120.00
Closest atoms and distances in Å follow each position.
Fractional coordinates of all 3 atoms:
Th1 0.3333 0.6667 0.6745  3 Sc 3.34, 3 Ho 3.50, 6 Th 3.50
Sc1 0.0000 0.0000 0.9952  3 Th 3.34, 3 Ho 3.43, 6 Sc 3.50
Ho1 0.6667 0.3333 0.3302  3 Sc 3.43, 3 Th 3.50, 6 Ho 3.50

Record 3
The following is a DFT calculation (PBE-GGA) of an optimized crystal structure of HoThSc.

Values from the calculation:
Energy relative to the lowest polymorph listed for this composition (eV/f.u.): 0.00
DOS(E_F) (states/eV per cell): 4.71
SG: I4mm, No. 107
E_form (kcal/mol of atoms): 0.89
Electronic total energy (eV per formula unit): -18.21
M_tot (μB per cell): 0.00

Lattice parameters (Å, degrees): 3.5044 3.5044 7.5914 103.35 103.35 90.00
Closest atoms and distances in Å follow each position.
Fractional coordinates of all 3 atoms:
Sc1 0.6713 0.6713 0.3425  4 Th 3.36, 4 Ho 3.50, 4 Sc 3.50
Ho1 0.9995 0.9995 0.9990  4 Th 3.48, 4 Sc 3.50, 4 Ho 3.50
Th1 0.3292 0.3292 0.6585  4 Sc 3.36, 4 Ho 3.48, 4 Th 3.50

Record 4
The following is a DFT calculation (PBE-GGA) of an optimized crystal structure of Ho6ThSc2.

Values from the calculation:
Energy relative to the lowest polymorph listed for this composition (eV/f.u.): 3.21
DOS(E_F) (states/eV per cell): 12.61
SG: R3, No. 146
E_form (kcal/mol of atoms): 11.28
Electronic total energy (eV per formula unit): -43.15
M_tot (μB per cell): 0.00

Lattice parameters (Å, degrees): 6.6936 6.6936 8.6733 67.30 67.30 60.00
Closest atoms and distances in Å follow each position.
Fractional coordinates of all 9 atoms:
Ho1 0.0399 0.0739 0.3253  6 Ho 3.25-3.38, 1 Th 3.26, 2 Sc 3.27-3.49
Ho2 0.7710 0.3060 0.6604  1 Th 3.17, 6 Ho 3.25-3.44, 1 Sc 3.37
Ho3 0.0739 0.5609 0.3253  6 Ho 3.25-3.38, 1 Th 3.26, 2 Sc 3.27-3.49
Ho4 0.5609 0.0399 0.3253  6 Ho 3.25-3.38, 1 Th 3.26, 2 Sc 3.27-3.49
Th1 0.3373 0.3373 0.9881  6 Ho 3.17-3.26
Sc1 0.5790 0.5790 0.2630  9 Ho 3.27-3.62, 1 Sc 3.64
Ho5 0.2626 0.7710 0.6604  1 Th 3.17, 6 Ho 3.25-3.44, 1 Sc 3.37
Ho6 0.3060 0.2626 0.6604  1 Th 3.17, 6 Ho 3.25-3.44, 1 Sc 3.37
Sc2 0.7351 0.7351 0.7948  6 Ho 3.37-3.65, 1 Sc 3.64

Record 5
The following is a DFT calculation (PBE-GGA) of an optimized crystal structure of Ho3Th4Sc4.

Values from the calculation:
DOS(E_F) (states/eV per cell): 16.03
SG: Immm, No. 71
E_form (kcal/mol of atoms): 4.23
Electronic total energy (eV per formula unit): -66.72
M_tot (μB per cell): 0.00

Lattice parameters (Å, degrees): 3.4715 10.0499 10.8281 117.65 99.22 90.00
Closest atoms and distances in Å follow each position.
Fractional coordinates of all 11 atoms:
Th1 0.6633 0.4608 0.3266  4 Sc 3.20-3.33, 2 Th 3.47
Ho1 0.9034 0.9034 0.8068  6 Sc 3.23-3.30, 2 Ho 3.47
Ho2 0.0000 0.5000 0.0000  4 Sc 3.37, 2 Ho 3.47
Th2 0.3367 0.5392 0.6734  4 Sc 3.20-3.33, 2 Th 3.47
Sc1 0.5000 0.7872 0.0000  2 Th 3.20, 6 Ho 3.30-3.37, 2 Sc 3.47
Sc2 0.2588 0.7588 0.5177  6 Th 3.23-3.33, 2 Ho 3.23, 2 Sc 3.47
Th3 0.3367 0.1342 0.6734  4 Sc 3.20-3.33, 2 Th 3.47
Sc3 0.5000 0.2128 0.0000  2 Th 3.20, 6 Ho 3.30-3.37, 2 Sc 3.47
Sc4 0.7412 0.2412 0.4823  6 Th 3.23-3.33, 2 Ho 3.23, 2 Sc 3.47
Th4 0.6633 0.8658 0.3266  4 Sc 3.20-3.33, 2 Th 3.47
Ho3 0.0966 0.0966 0.1932  6 Sc 3.23-3.30, 2 Ho 3.47

Record 6
The following is a DFT calculation (PBE-GGA) of an optimized crystal structure of Ho5Th4Sc2.

Values from the calculation:
Energy relative to the lowest polymorph listed for this composition (eV/f.u.): 0.00
DOS(E_F) (states/eV per cell): 16.55
SG: C2/m, No. 12
E_form (kcal/mol of atoms): 0.72
Electronic total energy (eV per formula unit): -64.89
M_tot (μB per cell): 0.00

Lattice parameters (Å, degrees): 3.5389 8.5071 11.6225 104.80 98.76 90.00
Closest atoms and distances in Å follow each position.
Fractional coordinates of all 11 atoms:
Th1 0.0446 0.3659 0.0892  4 Sc 3.38-3.46, 5 Th 3.44-3.54, 3 Ho 3.50-3.56
Th2 0.9554 0.6341 0.9108  4 Sc 3.38-3.46, 5 Th 3.44-3.54, 3 Ho 3.50-3.56
Ho1 0.2248 0.8101 0.4495  3 Th 3.46, 7 Ho 3.48-3.60, 2 Sc 3.49
Ho2 0.5000 0.0000 0.0000  4 Th 3.50, 6 Ho 3.50-3.54, 2 Sc 3.55
Ho3 0.7752 0.1899 0.5505  3 Th 3.46, 7 Ho 3.48-3.60, 2 Sc 3.49
Sc1 0.4108 0.2846 0.8216  5 Th 3.38-3.47, 5 Ho 3.49-3.55, 2 Sc 3.54
Th3 0.6810 0.4487 0.3621  5 Ho 3.46-3.48, 1 Sc 3.47, 6 Th 3.51-3.54
Sc2 0.5892 0.7154 0.1784  5 Th 3.38-3.47, 5 Ho 3.49-3.55, 2 Sc 3.54
Ho4 0.8639 0.9142 0.7279  3 Th 3.48-3.56, 7 Ho 3.48-3.56, 2 Sc 3.53
Th4 0.3190 0.5513 0.6379  5 Ho 3.46-3.48, 1 Sc 3.47, 6 Th 3.51-3.54
Ho5 0.1361 0.0858 0.2721  3 Th 3.48-3.56, 7 Ho 3.48-3.56, 2 Sc 3.53

Record 7
The following is a DFT calculation (PBE-GGA) of an optimized crystal structure of HoTh3Sc4.

Values from the calculation:
Energy relative to the lowest polymorph listed for this composition (eV/f.u.): 0.09
DOS(E_F) (states/eV per cell): 31.23
SG: Pmmn, No. 59
E_form (kcal/mol of atoms): 1.37
Electronic total energy (eV per formula unit): -51.69
M_tot (μB per cell): 0.00

Lattice parameters (Å, degrees): 4.8975 9.4320 9.8280 90.00 90.00 90.00
Closest atoms and distances in Å follow each position.
Fractional coordinates of all 16 atoms:
Sc1 0.0644 0.1149 0.2508  8 Sc 3.27-3.47, 3 Th 3.40-3.41, 1 Ho 3.42
Th1 0.5645 0.3662 0.7492  4 Sc 3.40-3.41, 5 Th 3.46-3.53, 3 Ho 3.47-3.52
Th2 0.0645 0.6338 0.2492  4 Sc 3.40-3.41, 5 Th 3.46-3.53, 3 Ho 3.47-3.52
Th3 0.0645 0.3654 0.5000  4 Sc 3.39-3.40, 6 Th 3.46-3.53, 2 Ho 3.53
Sc2 0.0644 0.1149 0.7492  8 Sc 3.27-3.47, 3 Th 3.40-3.41, 1 Ho 3.42
Th4 0.5645 0.3662 0.2508  4 Sc 3.40-3.41, 5 Th 3.46-3.53, 3 Ho 3.47-3.52
Ho1 0.0644 0.3655 0.0000  4 Sc 3.39-3.42, 8 Th 3.47-3.53
Sc3 0.5644 0.1162 0.5000  8 Sc 3.29-3.46, 4 Th 3.39-3.40
Ho2 0.5644 0.6345 0.5000  4 Sc 3.39-3.42, 8 Th 3.47-3.53
Sc4 0.5644 0.8851 0.7508  8 Sc 3.27-3.47, 3 Th 3.40-3.41, 1 Ho 3.42
Th5 0.0645 0.6338 0.7508  4 Sc 3.40-3.41, 5 Th 3.46-3.53, 3 Ho 3.47-3.52
Th6 0.5645 0.6346 0.0000  4 Sc 3.39-3.40, 6 Th 3.46-3.53, 2 Ho 3.53
Sc5 0.0644 0.8838 0.0000  8 Sc 3.29-3.46, 4 Th 3.39-3.40
Sc6 0.5644 0.8851 0.2492  8 Sc 3.27-3.47, 3 Th 3.40-3.41, 1 Ho 3.42
Sc7 0.5643 0.1172 0.0000  8 Sc 3.29-3.47, 2 Ho 3.39, 2 Th 3.40
Sc8 0.0643 0.8828 0.5000  8 Sc 3.29-3.47, 2 Ho 3.39, 2 Th 3.40

Record 8
The following is a DFT calculation (PBE-GGA) of an optimized crystal structure of Ho2Th3Sc8.

Values from the calculation:
DOS(E_F) (states/eV per cell): 22.21
SG: C2/m, No. 12
E_form (kcal/mol of atoms): 3.97
Electronic total energy (eV per formula unit): -79.83
M_tot (μB per cell): 0.00

Lattice parameters (Å, degrees): 5.6976 10.8241 8.2911 130.75 106.64 90.00
Closest atoms and distances in Å follow each position.
Fractional coordinates of all 13 atoms:
Ho1 0.6613 0.3005 0.6010  8 Sc 3.05-3.39
Th1 0.0000 0.7572 0.0000  6 Sc 3.26-3.35
Sc1 0.3168 0.0764 0.6471  4 Sc 3.12-3.38, 2 Ho 3.18-3.39, 2 Th 3.35-3.43
Th2 0.5000 0.0000 0.0000  6 Sc 3.10-3.43
Sc2 0.0663 0.1627 0.3255  3 Th 3.10-3.26, 3 Sc 3.15-3.33, 2 Ho 3.17-3.37
Sc3 0.9337 0.8373 0.6745  3 Th 3.10-3.26, 3 Sc 3.15-3.33, 2 Ho 3.17-3.37
Sc4 0.6832 0.9236 0.3529  4 Sc 3.12-3.38, 2 Ho 3.18-3.39, 2 Th 3.35-3.43
Th3 0.0000 0.2428 0.0000  6 Sc 3.26-3.35
Ho2 0.3387 0.6995 0.3990  8 Sc 3.05-3.39
Sc5 0.2336 0.4317 0.8635  4 Sc 2.87-3.15, 2 Ho 3.05-3.19
Sc6 0.3168 0.5707 0.6471  4 Sc 3.12-3.38, 2 Ho 3.18-3.39, 2 Th 3.35-3.43
Sc7 0.7664 0.5683 0.1365  4 Sc 2.87-3.15, 2 Ho 3.05-3.19
Sc8 0.6832 0.4293 0.3529  4 Sc 3.12-3.38, 2 Ho 3.18-3.39, 2 Th 3.35-3.43

Record 9
The following is a DFT calculation (PBE-GGA) of an optimized crystal structure of Ho3Th5Sc4.

Values from the calculation:
Energy relative to the lowest polymorph listed for this composition (eV/f.u.): 0.27
DOS(E_F) (states/eV per cell): 19.33
SG: P-1, No. 2
E_form (kcal/mol of atoms): 4.48
Electronic total energy (eV per formula unit): -73.83
M_tot (μB per cell): 0.00

Lattice parameters (Å, degrees): 6.2234 4.9913 13.2726 88.56 100.09 64.18
Closest atoms and distances in Å follow each position.
Fractional coordinates of all 12 atoms:
Sc1 0.9134 0.0313 0.3614  3 Ho 2.98-3.22, 1 Th 3.18, 1 Sc 3.31
Th1 0.3221 0.3355 0.0413  1 Sc 3.37, 8 Th 3.45-3.61, 3 Ho 3.61-3.69
Th2 0.5000 0.5000 0.5000  2 Ho 3.11, 4 Sc 3.32-3.48
Ho1 0.6045 0.6790 0.2287  5 Sc 3.22-3.52, 2 Th 3.57-3.59
Ho2 0.3955 0.3210 0.7713  5 Sc 3.22-3.52, 2 Th 3.57-3.59
Ho3 0.0000 0.5000 0.5000  4 Sc 2.98-3.18, 2 Th 3.11
Sc2 0.0866 0.9687 0.6387  3 Ho 2.98-3.22, 1 Th 3.18, 1 Sc 3.31
Th3 0.9603 0.0076 0.1268  3 Sc 3.18-3.42, 5 Th 3.47-3.53
Th4 0.0397 0.9924 0.8732  3 Sc 3.18-3.42, 5 Th 3.47-3.53
Sc3 0.2307 0.3537 0.2843  2 Sc 3.31-3.38, 4 Th 3.32-3.42, 4 Ho 3.35-3.52
Th5 0.6779 0.6645 0.9587  1 Sc 3.37, 8 Th 3.45-3.61, 3 Ho 3.61-3.69
Sc4 0.7693 0.6463 0.7157  2 Sc 3.31-3.38, 4 Th 3.32-3.42, 4 Ho 3.35-3.52

Record 10
The following is a DFT calculation (PBE-GGA) of an optimized crystal structure of Ho6ThSc2.

Values from the calculation:
Energy relative to the lowest polymorph listed for this composition (eV/f.u.): 0.00
DOS(E_F) (states/eV per cell): 15.67
SG: C2/m, No. 12
E_form (kcal/mol of atoms): 3.06
Electronic total energy (eV per formula unit): -46.36
M_tot (μB per cell): 0.00

Lattice parameters (Å, degrees): 3.5406 9.7055 9.7056 125.37 85.40 85.40
Closest atoms and distances in Å follow each position.
Fractional coordinates of all 9 atoms:
Sc1 0.5000 0.8370 0.1630  6 Ho 3.32-3.46, 2 Th 3.32, 2 Sc 3.54
Ho1 0.1835 0.5018 0.8399  7 Ho 3.29-3.54, 3 Sc 3.32-3.46
Ho2 0.8165 0.4982 0.1601  7 Ho 3.29-3.54, 3 Sc 3.32-3.46
Ho3 0.3241 0.3341 0.3341  2 Th 3.37-3.48, 8 Ho 3.39-3.54
Ho4 0.1835 0.8399 0.5018  7 Ho 3.29-3.54, 3 Sc 3.32-3.46
Ho5 0.6759 0.6659 0.6659  2 Th 3.37-3.48, 8 Ho 3.39-3.54
Ho6 0.8165 0.1601 0.4982  7 Ho 3.29-3.54, 3 Sc 3.32-3.46
Sc2 0.5000 0.1630 0.8370  6 Ho 3.32-3.46, 2 Th 3.32, 2 Sc 3.54
Th1 0.0000 0.0000 0.0000  4 Sc 3.32, 4 Ho 3.37-3.48, 2 Th 3.54

Record 11
The following is a DFT calculation (PBE-GGA) of an optimized crystal structure of Ho5Th2Sc2.

Values from the calculation:
Energy relative to the lowest polymorph listed for this composition (eV/f.u.): 0.00
DOS(E_F) (states/eV per cell): 28.15
SG: Ima2, No. 46
E_form (kcal/mol of atoms): 5.01
Electronic total energy (eV per formula unit): -48.44
M_tot (μB per cell): 0.00

Lattice parameters (Å, degrees): 12.7141 5.7781 10.2482 106.37 128.34 90.00
Closest atoms and distances in Å follow each position.
Fractional coordinates of all 18 atoms:
Th1 0.0000 0.8661 0.0000  4 Ho 3.28-3.56, 2 Sc 3.29
Ho1 0.6666 0.8196 0.7130  5 Ho 3.20-3.49, 2 Th 3.28-3.46, 3 Sc 3.31-3.43
Th2 0.1989 0.2270 0.5000  5 Ho 3.20-3.48, 2 Sc 3.43
Ho2 0.9322 0.2552 0.5000  3 Th 3.20-3.48, 4 Ho 3.29-3.36, 2 Sc 3.35
Sc1 0.5958 0.1011 0.2914  1 Sc 3.13, 2 Th 3.29-3.43, 6 Ho 3.31-3.43
Ho3 0.5464 0.3196 0.7130  5 Ho 3.20-3.49, 2 Th 3.28-3.46, 3 Sc 3.31-3.43
Sc2 0.4042 0.8096 0.7086  1 Sc 3.13, 2 Th 3.29-3.43, 6 Ho 3.31-3.43
Ho4 0.2778 0.7832 0.9157  5 Ho 3.29-3.49, 2 Sc 3.35-3.40, 1 Th 3.56
Ho5 0.1379 0.2832 0.9157  5 Ho 3.29-3.49, 2 Sc 3.35-3.40, 1 Th 3.56
Th3 0.5000 0.3661 0.0000  4 Ho 3.28-3.56, 2 Sc 3.29
Th4 0.8010 0.7270 0.5000  5 Ho 3.20-3.48, 2 Sc 3.43
Sc3 0.8043 0.3096 0.7085  1 Sc 3.13, 2 Th 3.29-3.43, 6 Ho 3.31-3.43
Ho6 0.3334 0.1066 0.2870  5 Ho 3.20-3.49, 2 Th 3.28-3.46, 3 Sc 3.31-3.43
Ho7 0.4536 0.6066 0.2870  5 Ho 3.20-3.49, 2 Th 3.28-3.46, 3 Sc 3.31-3.43
Sc4 0.1957 0.6011 0.2914  1 Sc 3.13, 2 Th 3.29-3.43, 6 Ho 3.31-3.43
Ho8 0.7222 0.8676 0.0843  5 Ho 3.29-3.49, 2 Sc 3.35-3.40, 1 Th 3.56
Ho9 0.0678 0.7552 0.5000  3 Th 3.20-3.48, 4 Ho 3.29-3.36, 2 Sc 3.35
Ho10 0.8621 0.3676 0.0843  5 Ho 3.29-3.49, 2 Sc 3.35-3.40, 1 Th 3.56

Record 12
The following is a DFT calculation (PBE-GGA) of an optimized crystal structure of Ho2ThSc5.

Values from the calculation:
Energy relative to the lowest polymorph listed for this composition (eV/f.u.): 0.00
DOS(E_F) (states/eV per cell): 10.57
SG: I4/mmm, No. 139
E_form (kcal/mol of atoms): 0.70
Electronic total energy (eV per formula unit): -47.99
M_tot (μB per cell): 0.00

Lattice parameters (Å, degrees): 6.6516 6.6516 6.6516 93.39 118.06 118.06
Closest atoms and distances in Å follow each position.
Fractional coordinates of all 8 atoms:
Th1 0.0000 0.2221 0.2221  8 Sc 3.33, 4 Ho 3.42
Ho1 0.5000 0.2223 0.7223  10 Sc 3.33-3.42, 2 Th 3.42
Sc1 0.5003 0.2224 0.2224  4 Ho 3.33, 2 Th 3.33, 6 Sc 3.33-3.43
Sc2 0.4997 0.7220 0.7220  4 Ho 3.33, 2 Th 3.33, 6 Sc 3.33-3.43
Sc3 0.0000 0.7224 0.7224  8 Sc 3.33, 4 Ho 3.42
Sc4 0.0000 0.7220 0.2224  4 Ho 3.33, 2 Th 3.33, 6 Sc 3.33-3.43
Sc5 0.0000 0.2224 0.7220  4 Ho 3.33, 2 Th 3.33, 6 Sc 3.33-3.43
Ho2 0.5000 0.7223 0.2223  10 Sc 3.33-3.42, 2 Th 3.42

Q: electronic total energy of number 11 (Ho5Th2Sc2)?
A: -48.44 eV per formula unit

Q: What is the electronic total energy in the second record?
A: -18.20 eV per formula unit